No. 1
Entry from Alexandria via LeMat-Bulk: a relaxed YLu3 crystal (PBE).

Unit cell a=5.5738 b=5.5738 c=5.5738 alpha=60.00 beta=60.00 gamma=60.00
Fractional positions:
Y: 0.5000 0.5000 0.5000
Lu: 0.0000 0.0000 0.0000
Lu: 0.7500 0.7500 0.7500
Lu: 0.2500 0.2500 0.2500

Output
- Symmetry: Fm-3m, No. 225
- Energy of formation from the pure elements: 0.1337 eV/atom
- Electronic total energy: -4.873 eV per atom
- Energy relative to the lowest polymorph listed for this composition: 0.1342 eV/atom
- Spin magnetization: 0.01 μB/f.u.

---

No. 2
Entry from Alexandria via LeMat-Bulk: a relaxed KHf3Sn crystal (PBE).

Unit cell a=5.4483 b=5.4483 c=5.4483 alpha=90.00 beta=90.00 gamma=90.00
Fractional positions:
K: 0.5000 0.5000 0.5000
Hf: 0.0000 0.5000 0.0000
Hf: 0.0000 0.0000 0.5000
Hf: 0.5000 0.0000 0.0000
Sn: 0.0000 0.0000 0.0000

Output
- Symmetry: Pm-3m, No. 221
- Energy of formation from the pure elements: 1.2344 eV/atom
- Electronic total energy: -5.758 eV per atom
- Energy relative to the lowest polymorph listed for this composition: 0.0000 eV/atom
- Spin magnetization: 0.00 μB/f.u.

---

No. 3
Entry from Alexandria via LeMat-Bulk: a relaxed Ba2LiCl crystal (PBE).

Unit cell a=4.1273 b=4.1273 c=9.3116 alpha=90.00 beta=90.00 gamma=102.58
Fractional positions:
Ba: 0.0000 0.0000 0.0043
Ba: 0.0000 0.0000 0.4957
Cl: 0.5000 0.5000 0.2500
Li: 0.5000 0.5000 0.7500

Output
- Symmetry: Cmmm, No. 65
- Formation energy (no corrections): -725.2 meV/atom
- Electronic total energy: -2.627 eV per atom
- Energy relative to the lowest polymorph listed for this composition: 0.1144 eV/atom
- Spin magnetization: 0.00 μB/f.u.

---

No. 4
Entry from Alexandria via LeMat-Bulk: a relaxed TaZnCu3 crystal (PBE).

Unit cell a=4.3009 b=4.3009 c=4.3009 alpha=90.00 beta=90.00 gamma=90.00
Fractional positions:
Zn: 0.0000 0.0000 0.0000
Cu: 0.0000 0.5000 0.0000
Cu: 0.0000 0.0000 0.5000
Cu: 0.5000 0.0000 0.0000
Ta: 0.5000 0.5000 0.5000

Output
- Symmetry: Pm-3m, No. 221
- Energy of formation from the pure elements: 0.9230 eV/atom
- Electronic total energy: -4.160 eV per atom
- Energy relative to the lowest polymorph listed for this composition: 0.0000 eV/atom
- Spin magnetization: 0.00 μB/f.u.

---

No. 5
Entry from Alexandria via LeMat-Bulk: a relaxed Nd3CuAg2 crystal (PBE).

Unit cell a=5.2590 b=5.2590 c=12.8042 alpha=90.00 beta=90.00 gamma=120.00
Fractional positions:
Nd: 0.3333 0.6667 0.4169
Nd: 0.6667 0.3333 0.0898
Nd: 0.0000 0.0000 0.7440
Nd: 0.0000 0.0000 0.2560
Nd: 0.3333 0.6667 0.9102
Nd: 0.6667 0.3333 0.5831
Cu: 0.3333 0.6667 0.6634
Cu: 0.6667 0.3333 0.3366
Ag: 0.0000 0.0000 0.5000
Ag: 0.3333 0.6667 0.1655
Ag: 0.6667 0.3333 0.8345
Ag: 0.0000 0.0000 0.0000

Output
- Symmetry: P-3m1, No. 164
- Energy of formation from the pure elements: -0.2038 eV/atom
- Electronic total energy: -4.221 eV per atom
- Energy relative to the lowest polymorph listed for this composition: 0.0125 eV/atom
- Spin magnetization: 0.00 μB/f.u.

---

No. 6
Entry from Alexandria via LeMat-Bulk: a relaxed RbGa3Tc crystal (PBE).

Unit cell a=5.0469 b=13.5406 c=4.3793 alpha=99.05 beta=90.00 gamma=97.37
Fractional positions:
Rb: 0.3778 0.2968 0.4184
Rb: 0.7787 0.9988 0.7610
Ga: 0.1769 0.8491 0.1876
Ga: 0.9461 0.4548 0.9962
Ga: 0.6386 0.7908 0.1596
Ga: 0.2213 0.6338 0.0832
Ga: 0.5512 0.5446 0.5400
Ga: 0.8836 0.7270 0.6286
Tc: 0.3795 0.7266 0.6283
Tc: 0.0441 0.5422 0.5388

Output
- Symmetry: P1, No. 1
- Energy of formation from the pure elements: -0.0367 eV/atom
- Electronic total energy: -4.119 eV per atom
- Energy relative to the lowest polymorph listed for this composition: 0.1068 eV/atom
- Spin magnetization: 0.00 μB/f.u.

---

No. 7
Entry from Alexandria via LeMat-Bulk: a relaxed Ba2Cd3Hg4Pb crystal (PBE).

Unit cell a=4.9051 b=4.9051 c=12.6075 alpha=90.00 beta=90.00 gamma=90.00
Fractional positions:
Ba: 0.5000 0.0000 0.2462
Ba: 0.0000 0.5000 0.7538
Cd: 0.0000 0.0000 0.5000
Cd: 0.5000 0.0000 0.8699
Cd: 0.0000 0.5000 0.1301
Hg: 0.5000 0.5000 0.0000
Hg: 0.0000 0.0000 0.0000
Hg: 0.5000 0.0000 0.6440
Hg: 0.0000 0.5000 0.3560
Pb: 0.5000 0.5000 0.5000

Output
- Symmetry: P-4m2, No. 115
- Energy of formation from the pure elements: -0.3223 eV/atom
- Electronic total energy: -1.473 eV per atom
- Spin magnetization: 0.00 μB/f.u.

---

No. 8
Entry from Alexandria via LeMat-Bulk: a relaxed DySi7Rh3 crystal (PBE).

Unit cell a=7.6282 b=7.6282 c=7.9880 alpha=61.48 beta=61.48 gamma=60.00
Fractional positions:
Dy: 0.5000 0.5000 0.5000
Dy: 0.0000 0.0000 0.0000
Si: 0.6721 0.0657 0.4109
Si: 0.0657 0.8513 0.4109
Si: 0.8513 0.6721 0.4109
Si: 0.8279 0.6487 0.0891
Si: 0.4343 0.8279 0.0891
Si: 0.6487 0.4343 0.0891
Si: 0.3279 0.9343 0.5891
Si: 0.9343 0.1487 0.5891
Si: 0.1487 0.3279 0.5891
Si: 0.1721 0.3513 0.9109
Si: 0.5657 0.1721 0.9109
Si: 0.3513 0.5657 0.9109
Si: 0.7500 0.7500 0.7500
Si: 0.2500 0.2500 0.2500
Rh: 0.4304 0.0696 0.7500
Rh: 0.0696 0.7500 0.7500
Rh: 0.7500 0.4304 0.7500
Rh: 0.5696 0.9304 0.2500
Rh: 0.9304 0.2500 0.2500
Rh: 0.2500 0.5696 0.2500

Output
- Symmetry: R-3c, No. 167
- Formation energy (no corrections): -689.2 meV/atom
- Electronic total energy: -6.564 eV per atom
- Spin magnetization: 0.00 μB/f.u.

---

Question: Look up the electronic total energy of the seventh one.
Answer: -1.473 eV per atom

---

Question: What is the electronic total energy in the second record?
Answer: -5.758 eV per atom